# Rb3TeI

A relaxed structure of Rb3TeI (PBE, Alexandria via LeMat-Bulk).

Calculated values
Its density of states at the Fermi level is 0.00 states/eV per cell. Its raw formation energy is -1.0336 eV/atom. As for the magnetization: 0.000 μB per formula unit. The total energy comes out at -0.1876 Ry per atom.

Cell lengths 6.9124, 6.9124, 6.9124 Å; angles 90.00, 90.00, 90.00 degrees
With the nearest neighbours (Å) after each atom.
Space group Pm-3m (No. 221)
Asymmetric unit:
Rb (0.0000, 0.0000, 0.5000) [3 per cell]  2 Te 3.46
Te (0.0000, 0.0000, 0.0000) [1 per cell]  6 Rb 3.46
I (0.5000, 0.5000, 0.5000) [1 per cell]  12 Rb 4.89